1.
First-principles (PBEsol) data for Cd2MoPb after structural relaxation, as listed in the Alexandria database.

Cell and atoms, written as POSCAR:
```
Cd2MoPb
1.0
-1.0872 2.3370 -2.0398
-4.1176 -2.0633 -0.1693
0.9912 2.7377 5.2566
Cd Pb Mo
2 1 1
Cartesian
-0.7351 1.3115 1.8943 Cd
-3.4784 1.6999 1.1531 Cd
-2.0588 -1.0316 -0.0847 Pb
-0.5436 1.1685 -1.0199 Mo
```

**DFT formation energy**: 0.446 eV per atom

=====

2.
First-principles (PBEsol) data for CoTcPt2 after structural relaxation, as listed in the Alexandria database.

Cell and atoms, written as POSCAR:
```
CoTcPt2
1.0
-0.4881 1.9515 -1.7619
-2.9178 1.2285 2.1690
3.2949 3.1930 2.6239
Co Tc Pt
1 1 2
Cartesian
-0.0555 3.1865 1.5155 Co
-1.7029 1.5900 0.2035 Tc
2.4634 2.3872 1.9617 Pt
0.8316 0.8058 0.6622 Pt
```

**Energy above the lowest structure with this stoichiometry**: 12.2 kJ/mol of formula units
**DFT formation energy**: -0.074 eV per atom

=====

3.
First-principles (PBEsol) data for KAlPt after structural relaxation, as listed in the Alexandria database.

Cell and atoms, written as POSCAR:
```
KAlPt
1.0
-1.3196 3.9291 0.1267
-1.7680 -2.6979 -2.6059
-3.5526 -1.3148 3.7716
Al Pt K
1 1 1
Cartesian
-1.7763 -0.6574 1.8858 Al
-3.2454 1.0627 1.1016 Pt
-1.6185 -0.4889 -1.6950 K
```

**DFT formation energy**: -0.283 eV per atom

=====

4.
First-principles (PBEsol) data for InAgW after structural relaxation, as listed in the Alexandria database.

Cell and atoms, written as POSCAR:
```
InAgW
1.0
-2.1791 1.4239 -1.2894
-0.2643 -0.8690 2.7592
2.7550 6.2332 2.2271
In Ag W
1 1 1
Cartesian
0.9288 4.0387 2.8901 In
0.0167 0.0377 0.0135 Ag
-0.6338 2.7116 0.7933 W
```

**Energy above the lowest structure with this stoichiometry**: 0.0 kJ/mol of formula units
**DFT formation energy**: 0.475 eV per atom

=====

5.
First-principles (PBEsol) data for ErTiClO3 after structural relaxation, as listed in the Alexandria database.

Cell and atoms, written as POSCAR:
```
ErTiClO3
1.0
-2.9249 2.4126 0.6639
-3.7800 -0.5231 -3.5939
-6.5602 -5.9348 3.8233
O Ti Er Cl
6 2 2 2
Cartesian
-6.0361 -1.8023 2.2737 O
-4.2981 0.5700 1.3096 O
-7.2291 -2.2430 -1.3805 O
-8.8106 -1.7737 1.1044 O
-8.9670 -4.6153 -0.4163 O
-4.4545 -2.2717 -0.2111 O
-4.8216 -3.2093 1.5786 Ti
-8.4435 -0.8361 -0.6853 Ti
-3.0622 -0.6641 0.0809 Er
-10.2029 -3.3813 0.8124 Er
-8.2844 -4.6059 2.5567 Cl
-4.9808 0.5606 -1.6634 Cl
```

**Raw formation energy**: -3.13 eV per atom

=====

6.
First-principles (PBEsol) data for SrEr2O4 after structural relaxation, as listed in the Alexandria database.

Cell and atoms, written as POSCAR:
```
SrEr2O4
1.0
3.3557 0.0000 0.0000
0.0000 9.9273 0.0000
0.0000 0.0000 11.7394
Er O Sr
8 16 4
Cartesian
2.5168 9.1637 7.1626 Er
0.8389 0.7636 4.5769 Er
2.5168 4.1963 4.5602 Er
0.8389 5.7310 7.1792 Er
2.5168 4.2000 10.4466 Er
0.8389 5.7273 1.2928 Er
2.5168 9.1599 1.3095 Er
0.8389 0.7674 10.4300 Er
2.5168 1.2402 6.0991 O
2.5168 4.2321 6.7792 O
2.5168 6.2038 11.5100 O
0.8389 0.7315 0.9095 O
2.5168 2.0981 9.7070 O
0.8389 8.6871 5.6403 O
0.8389 5.6952 4.9602 O
0.8389 4.8103 9.1941 O
0.8389 2.8655 3.8373 O
0.8389 7.8292 2.0324 O
2.5168 5.1170 2.5454 O
2.5168 0.1534 3.3244 O
0.8389 3.7235 0.2294 O
0.8389 9.7739 8.4151 O
2.5168 7.0618 7.9021 O
2.5168 9.1958 10.8299 O
0.8389 7.4224 9.9760 Sr
0.8389 2.4587 7.6331 Sr
2.5168 2.5049 1.7634 Sr
2.5168 7.4686 4.1063 Sr
```

**Energy above the lowest structure with this stoichiometry**: 0.0 kJ/mol of formula units
**Raw formation energy**: -3.44 eV per atom

=====

7.
First-principles (PBEsol) data for LiTlMo2 after structural relaxation, as listed in the Alexandria database.

Cell and atoms, written as POSCAR:
```
LiTlMo2
1.0
-0.6756 -2.3397 1.3431
4.0482 -1.3430 -2.7219
1.1807 3.1037 4.3305
Mo Tl Li
2 1 1
Cartesian
0.5904 1.5519 2.1653 Mo
2.2766 -0.2895 1.4759 Mo
2.0241 -0.6715 -1.3609 Tl
-0.3378 -1.1699 0.6715 Li
```

**Energy above the lowest structure with this stoichiometry**: 0.0 kJ/mol of formula units
**DFT formation energy**: 0.529 eV per atom

=====

8.
First-principles (PBEsol) data for Li2YTe2 after structural relaxation, as listed in the Alexandria database.

Cell and atoms, written as POSCAR:
```
Li2YTe2
1.0
-2.8553 2.6602 -0.9330
-3.1386 -5.1945 -5.2054
-4.6589 -2.9744 5.7773
Li Y Te
4 2 4
Cartesian
-4.8320 -1.2831 2.5010 Li
-5.8209 -4.2256 -2.8620 Li
-3.2065 -0.9611 -1.5553 Li
-7.4464 -4.5476 1.1943 Li
-3.8988 -4.0845 0.2860 Y
0.0000 0.0000 0.0000 Y
-5.7259 -6.3053 -0.4545 Te
-4.9061 -4.1865 3.0777 Te
-2.0717 -1.8636 1.0265 Te
-2.8914 -3.9824 -2.5057 Te
```

**Raw formation energy**: -0.89 eV per atom